A plane-wave DFT calculation with GGA-PBE was carried out for a relaxed RbNa12Hg6 crystal.

Cell and atoms, written as POSCAR:
```
RbNa12Hg6
1.0
7.076 4.085 3.703
-7.076 4.085 3.703
0.000 -8.171 3.703
Rb Na Hg
1 12 6
direct
0.000 0.000 0.000
0.119 0.500 0.881
0.119 0.881 0.500
0.166 0.436 0.436
0.436 0.166 0.436
0.436 0.436 0.166
0.500 0.119 0.881
0.500 0.881 0.119
0.564 0.564 0.834
0.564 0.834 0.564
0.834 0.564 0.564
0.881 0.119 0.500
0.881 0.500 0.119
0.252 0.252 0.705
0.252 0.705 0.252
0.295 0.748 0.748
0.705 0.252 0.252
0.748 0.295 0.748
0.748 0.748 0.295
```

Values from the calculation:
- Energy above the lowest structure with this stoichiometry: 0.000 eV/atom
- Formation energy from the elements: -0.140 eV/atom

A plane-wave DFT calculation with GGA-PBE was carried out for a relaxed LiTa2Ru crystal.

Cell and atoms, written as POSCAR:
```
LiTa2Ru
1.0
3.794 0.000 0.000
0.000 3.794 0.000
0.000 0.000 8.741
Li Ta Ru
2 4 2
direct
0.000 0.000 0.000
0.500 0.500 0.500
0.000 0.000 0.500
0.000 0.500 0.250
0.500 0.000 0.750
0.500 0.500 0.000
0.000 0.500 0.750
0.500 0.000 0.250
```

Values from the calculation:
- Formation energy from the elements: 0.155 eV/atom

A plane-wave DFT calculation with GGA-PBE was carried out for a relaxed HoZnBi crystal.

Cell and atoms, written as POSCAR:
```
HoZnBi
1.0
2.253 1.301 9.195
-2.253 1.301 9.195
0.000 -2.602 9.195
Ho Zn Bi
2 2 2
direct
0.063 0.063 0.063
0.937 0.937 0.937
0.331 0.331 0.331
0.669 0.669 0.669
0.205 0.205 0.205
0.795 0.795 0.795
```

Values from the calculation:
- Formation energy from the elements: -0.269 eV/atom

A plane-wave DFT calculation with GGA-PBE was carried out for a relaxed CeGdFe crystal.

Cell and atoms, written as POSCAR:
```
CeGdFe
1.0
3.353 0.000 0.000
0.000 3.353 0.000
0.000 0.000 12.759
Ce Gd Fe
2 2 2
direct
0.000 0.000 0.000
0.500 0.500 0.500
0.000 0.000 0.256
0.500 0.500 0.756
0.000 0.000 0.619
0.500 0.500 0.119
```

Values from the calculation:
- Energy above the lowest structure with this stoichiometry: 0.031 eV/atom
- Formation energy from the elements: 0.075 eV/atom

A plane-wave DFT calculation with GGA-PBE was carried out for a relaxed KYP2 crystal.

Cell and atoms, written as POSCAR:
```
KYP2
1.0
5.634 0.000 0.000
0.000 5.634 0.000
0.000 0.000 17.671
K Y P
4 4 8
direct
0.000 0.000 0.000
0.000 0.500 0.250
0.500 0.000 0.750
0.500 0.500 0.500
0.000 0.000 0.500
0.000 0.500 0.750
0.500 0.000 0.250
0.500 0.500 0.000
0.062 0.250 0.625
0.250 0.562 0.875
0.250 0.938 0.375
0.438 0.250 0.125
0.562 0.750 0.125
0.750 0.062 0.375
0.750 0.438 0.875
0.938 0.750 0.625
```

Values from the calculation:
- Energy above the lowest structure with this stoichiometry: 0.445 eV/atom
- Formation energy from the elements: -0.363 eV/atom

A plane-wave DFT calculation with GGA-PBE was carried out for a relaxed Ba5Mg18Ge13 crystal.

Cell and atoms, written as POSCAR:
```
Ba5Mg18Ge13
1.0
14.752 0.000 0.000
-7.376 12.776 0.000
0.000 0.000 4.538
Ba Mg Ge
5 18 13
direct
0.000 0.820 0.000
0.180 0.180 0.000
0.333 0.667 0.504
0.667 0.333 0.504
0.820 0.000 0.000
0.000 0.282 0.010
0.000 0.443 0.509
0.122 0.639 0.003
0.177 0.375 0.503
0.197 0.823 0.503
0.282 0.000 0.010
0.361 0.483 0.003
0.375 0.177 0.503
0.443 0.000 0.509
0.483 0.361 0.003
0.517 0.878 0.003
0.557 0.557 0.509
0.625 0.803 0.503
0.639 0.122 0.003
0.718 0.718 0.010
0.803 0.625 0.503
0.823 0.197 0.503
0.878 0.517 0.003
0.000 0.000 0.455
0.000 0.173 0.512
0.000 0.631 0.503
0.168 0.478 0.003
0.173 0.000 0.512
0.310 0.832 0.003
0.369 0.369 0.503
0.478 0.168 0.003
0.522 0.690 0.003
0.631 0.000 0.503
0.690 0.522 0.003
0.827 0.827 0.512
0.832 0.310 0.003
```

Values from the calculation:
- Formation energy from the elements: -0.411 eV/atom

- Among the records above, which one has the highest formation energy from the elements?
  LiTa2Ru

What did the first record say?
A plane-wave DFT calculation with GGA-PBE was carried out for a relaxed RbNa12Hg6 crystal.

Cell and atoms, written as POSCAR:
```
RbNa12Hg6
1.0
7.076 4.085 3.703
-7.076 4.085 3.703
0.000 -8.171 3.703
Rb Na Hg
1 12 6
direct
0.000 0.000 0.000
0.119 0.500 0.881
0.119 0.881 0.500
0.166 0.436 0.436
0.436 0.166 0.436
0.436 0.436 0.166
0.500 0.119 0.881
0.500 0.881 0.119
0.564 0.564 0.834
0.564 0.834 0.564
0.834 0.564 0.564
0.881 0.119 0.500
0.881 0.500 0.119
0.252 0.252 0.705
0.252 0.705 0.252
0.295 0.748 0.748
0.705 0.252 0.252
0.748 0.295 0.748
0.748 0.748 0.295
```

Values from the calculation:
- Energy above the lowest structure with this stoichiometry: 0.000 eV/atom
- Formation energy from the elements: -0.140 eV/atom

- Which of these has the highest formation energy from the elements?
  LiTa2Ru

- What is the formula in the fourth record?
  CeGdFe